(one)
A relaxed La3MgOs crystal, computed with GGA-PBE. Values from VASP.

Quantum ESPRESSO input file:
```
&SYSTEM
  ibrav = 0, nat = 20, ntyp = 3
/
ATOMIC_SPECIES
La 138.91 La.upf
Mg 24.30 Mg.upf
Os 190.23 Os.upf
CELL_PARAMETERS angstrom
10.055 0.000 0.000
0.000 5.883 0.000
-5.102 0.000 9.902
ATOMIC_POSITIONS angstrom
La -1.617 0.522 3.445
La -4.168 2.420 8.396
La 0.393 3.006 5.148
La 2.944 5.818 0.197
La -0.223 0.124 6.802
La 2.327 2.817 1.851
La 2.626 3.066 8.050
La 5.177 5.759 3.100
La 2.010 0.065 9.704
La 4.561 2.877 4.753
La 9.122 3.463 1.506
La 6.571 5.361 6.457
Mg -0.859 2.960 8.483
Mg 1.691 5.865 3.532
Mg 3.262 0.018 6.370
Mg 5.813 2.923 1.419
Os 0.419 0.771 0.940
Os -2.132 2.171 5.891
Os 7.085 3.712 4.011
Os 4.534 5.112 8.962
```

Fermi-level density of states = 4.98 states/eV/f.u.
Symmetry = P2_1/c (14)

(two)
A relaxed La3MgOs crystal, computed with GGA-PBE. Values from VASP.

Quantum ESPRESSO input file:
```
&SYSTEM
  ibrav = 0, nat = 10, ntyp = 3
/
ATOMIC_SPECIES
La 138.91 La.upf
Mg 24.30 Mg.upf
Os 190.23 Os.upf
CELL_PARAMETERS angstrom
3.828 2.210 6.769
-3.828 2.210 6.769
0.000 -4.420 6.769
ATOMIC_POSITIONS angstrom
La -0.233 -2.198 5.168
La -1.787 1.301 5.168
La -2.020 -0.897 15.138
La 2.020 0.897 5.168
La 1.787 -1.301 15.138
La 0.233 2.198 15.138
Mg 0.000 0.000 8.143
Mg 0.000 0.000 12.163
Os 0.000 0.000 3.460
Os 0.000 0.000 16.846
```

Fermi-level density of states = 3.63 states/eV/f.u.
Symmetry = R-3 (148)

(three)
A relaxed La3MgOs crystal, computed with GGA-PBE. Values from VASP.

Quantum ESPRESSO input file:
```
&SYSTEM
  ibrav = 0, nat = 10, ntyp = 3
/
ATOMIC_SPECIES
La 138.91 La.upf
Mg 24.30 Mg.upf
Os 190.23 Os.upf
CELL_PARAMETERS angstrom
4.204 2.427 5.177
-4.204 2.427 5.177
0.000 -4.854 5.177
ATOMIC_POSITIONS angstrom
La -0.738 -2.179 5.177
La -2.686 -0.699 7.765
La -1.518 1.729 5.177
La 1.948 -1.977 7.765
La 2.256 0.450 5.177
La 0.738 2.675 7.765
Mg 0.000 0.000 2.202
Mg 0.000 0.000 9.967
Os 0.000 0.000 7.039
Os 0.000 0.000 14.804
```

Fermi-level density of states = 6.39 states/eV/f.u.
Symmetry = R3c (161)

(four)
A relaxed La3MgOs crystal, computed with GGA-PBE. Values from VASP.

Quantum ESPRESSO input file:
```
&SYSTEM
  ibrav = 0, nat = 10, ntyp = 3
/
ATOMIC_SPECIES
La 138.91 La.upf
Mg 24.30 Mg.upf
Os 190.23 Os.upf
CELL_PARAMETERS angstrom
5.887 0.000 0.000
2.933 6.421 0.000
0.006 3.502 8.649
ATOMIC_POSITIONS angstrom
La 1.468 2.613 1.941
La 1.469 3.542 5.651
La 4.417 5.151 0.667
La 4.409 4.772 7.982
La 7.357 6.381 2.998
La 7.358 7.311 6.708
Mg 4.412 6.442 4.774
Mg 4.414 3.481 3.875
Os 1.465 4.832 7.997
Os 7.361 5.091 0.652
```

Fermi-level density of states = 4.65 states/eV/f.u.
Symmetry = P-1 (2)

In terms of stability, (four) leads; the second structure lies 43 meV per atom higher.

(one)
A relaxed La3MgOs crystal, computed with GGA-PBE. Values from VASP.

Quantum ESPRESSO input file:
```
&SYSTEM
  ibrav = 0, nat = 10, ntyp = 3
/
ATOMIC_SPECIES
La 138.91 La.upf
Mg 24.30 Mg.upf
Os 190.23 Os.upf
CELL_PARAMETERS angstrom
4.580 0.000 0.000
-2.290 3.966 0.000
0.000 0.000 17.663
ATOMIC_POSITIONS angstrom
La 0.000 0.000 4.416
La 0.000 0.000 13.247
La 0.000 2.644 2.180
La 0.000 2.644 6.652
La 2.290 1.322 11.011
La 2.290 1.322 15.483
Mg 0.000 0.000 0.000
Mg 0.000 0.000 8.831
Os 0.000 2.644 13.247
Os 2.290 1.322 4.416
```

Fermi-level density of states = 4.88 states/eV/f.u.
Symmetry = P6_3/mmc (194)

(two)
A relaxed La3MgOs crystal, computed with GGA-PBE. Values from VASP.

Quantum ESPRESSO input file:
```
&SYSTEM
  ibrav = 0, nat = 10, ntyp = 3
/
ATOMIC_SPECIES
La 138.91 La.upf
Mg 24.30 Mg.upf
Os 190.23 Os.upf
CELL_PARAMETERS angstrom
3.988 2.303 6.398
-3.988 2.303 6.398
0.000 -4.605 6.398
ATOMIC_POSITIONS angstrom
La -2.163 0.858 7.997
La -1.825 -1.445 11.196
La 0.339 -2.303 7.997
La -0.339 2.303 11.196
La 1.825 1.445 7.997
La 2.163 -0.858 11.196
Mg 0.000 0.000 4.798
Mg 0.000 0.000 14.395
Os 0.000 0.000 0.000
Os 0.000 0.000 9.597
```

Fermi-level density of states = 5.96 states/eV/f.u.
Symmetry = R-3c (167)

In terms of stability, (two) leads; the second structure lies 248 meV per atom higher.

(one)
A relaxed La3MgOs crystal, computed with GGA-PBE. Values from VASP.

Quantum ESPRESSO input file:
```
&SYSTEM
  ibrav = 0, nat = 10, ntyp = 3
/
ATOMIC_SPECIES
La 138.91 La.upf
Mg 24.30 Mg.upf
Os 190.23 Os.upf
CELL_PARAMETERS angstrom
6.427 0.000 0.000
1.788 7.122 0.000
1.346 2.822 6.773
ATOMIC_POSITIONS angstrom
La 0.000 0.000 0.000
La 1.995 6.583 3.482
La 5.374 7.612 5.399
La 3.841 2.227 1.114
La 5.292 5.769 2.055
La 7.342 3.093 3.347
Mg 4.064 3.959 4.648
Mg 8.475 6.328 6.743
Os 2.689 4.677 1.470
Os 6.528 5.136 5.118
```

Fermi-level density of states = 2.21 states/eV/f.u.
Symmetry = P1 (1)

(two)
A relaxed La3MgOs crystal, computed with GGA-PBE. Values from VASP.

Quantum ESPRESSO input file:
```
&SYSTEM
  ibrav = 0, nat = 20, ntyp = 3
/
ATOMIC_SPECIES
La 138.91 La.upf
Mg 24.30 Mg.upf
Os 190.23 Os.upf
CELL_PARAMETERS angstrom
9.964 0.000 0.000
0.000 6.427 0.000
-5.473 0.000 9.568
ATOMIC_POSITIONS angstrom
La -1.453 0.495 2.983
La -4.189 2.719 7.767
La -0.574 1.227 6.589
La 2.163 1.987 1.805
La -1.254 4.784 8.924
La 1.482 4.856 4.140
La 3.008 1.571 5.427
La 5.745 1.643 0.644
La 2.327 4.440 7.762
La 5.064 5.200 2.979
La 8.680 3.708 1.801
La 5.943 5.932 6.585
Mg -1.534 4.090 5.235
Mg 1.203 5.550 0.451
Mg 3.288 0.877 9.117
Mg 6.024 2.337 4.333
Os -2.331 1.012 8.862
Os 0.405 2.201 4.078
Os 4.085 4.226 5.489
Os 6.821 5.414 0.705
```

Fermi-level density of states = 4.69 states/eV/f.u.
Symmetry = P2_1/c (14)

(three)
A relaxed La3MgOs crystal, computed with GGA-PBE. Values from VASP.

Quantum ESPRESSO input file:
```
&SYSTEM
  ibrav = 0, nat = 10, ntyp = 3
/
ATOMIC_SPECIES
La 138.91 La.upf
Mg 24.30 Mg.upf
Os 190.23 Os.upf
CELL_PARAMETERS angstrom
-2.929 2.929 11.956
2.929 -2.929 11.956
2.929 2.929 -11.956
ATOMIC_POSITIONS angstrom
La 0.000 0.000 5.103
La 1.540 2.929 -3.154
La 1.390 0.000 8.802
La 2.929 1.540 3.154
La 0.000 0.000 18.809
La 0.000 1.390 15.110
Mg 2.929 0.000 5.978
Mg 0.000 0.000 11.956
Os 0.000 2.929 4.783
Os 0.000 2.929 7.173
```

Fermi-level density of states = 11.95 states/eV/f.u.
Symmetry = I-4m2 (119)

(four)
A relaxed La3MgOs crystal, computed with GGA-PBE. Values from VASP.

Quantum ESPRESSO input file:
```
&SYSTEM
  ibrav = 0, nat = 20, ntyp = 3
/
ATOMIC_SPECIES
La 138.91 La.upf
Mg 24.30 Mg.upf
Os 190.23 Os.upf
CELL_PARAMETERS angstrom
6.465 0.000 0.000
0.000 10.858 0.000
0.000 0.000 8.467
ATOMIC_POSITIONS angstrom
La 0.193 1.142 1.239
La 0.193 4.287 1.239
La 1.186 2.714 6.076
La 2.047 8.143 1.842
La 3.039 6.571 5.472
La 3.039 9.716 5.472
La 3.426 1.142 2.995
La 3.426 4.287 2.995
La 4.418 2.714 6.625
La 5.279 8.143 2.392
La 6.271 6.571 7.229
La 6.271 9.716 7.229
Mg 0.000 0.000 4.234
Mg 0.000 5.429 4.234
Mg 3.232 0.000 0.000
Mg 3.232 5.429 0.000
Os 0.785 8.143 4.621
Os 2.447 2.714 0.388
Os 4.018 8.143 8.080
Os 5.679 2.714 3.846
```

Fermi-level density of states = 6.55 states/eV/f.u.
Symmetry = Pnma (62)

In terms of stability, (two) leads; the second structure lies 17 meV per atom higher.